Computed, not measured: GdLu3 after structural relaxation at the PBE-GGA level of DFT.

The value obtained for the density of states at the Fermi level is 7.02 states/eV per cell. For the formation energy, the calculation gives 0.00 eV per atom. As for the spin magnetization: 1.878 μB per atom. The value obtained for the total energy is -6.9131 eV/atom.

Lattice parameters (Å, degrees): 3.552 6.155 6.592 117.83 105.63 90.00
Positions (direct):
Gd: 0.000 0.997 0.000
Lu: 0.247 0.581 0.494
Lu: 0.500 0.501 0.000
Lu: 0.753 0.088 0.506

Computed, not measured: K2CdRe after structural relaxation at the PBE-GGA level of DFT.

The value obtained for the density of states at the Fermi level is 3.72 states/eV per cell. For the formation energy, the calculation gives 1.17 eV per atom. As for the spin magnetization: 0.109 μB per atom. The value obtained for the total energy is -2.7238 eV/atom.

Lattice parameters (Å, degrees): 5.807 2.820 6.810 63.45 90.00 90.00
Positions (direct):
Cd: 0.500 0.750 0.750
K: 0.000 0.994 0.009
K: 0.000 0.506 0.491
Re: 0.500 0.250 0.250

What did we get for volume? Answer: 121 100 Å³/cell, in the order shown.